Density functional theory data (GGA-PBE) for a geometry-optimized ErLuFe2Br2 structure.

Geometry as extended XYZ:
```
6
Lattice="3.8084 0.0000 0.0000 -1.9042 3.2982 0.0000 0.0000 0.0000 11.4645" Properties=species:S:1:pos:R:3 pbc="T T T"
Er 0.0000 0.0000 0.0000
Lu 0.0000 0.0000 7.5945
Fe 0.0000 2.1988 9.4219
Fe 1.9042 1.0994 9.5883
Br 0.0000 2.1988 1.9151
Br 1.9042 1.0994 5.6978
```

Uncorrected energy   -5.7865 eV per atom
Symmetry   P3m1
Crystal system   trigonal



Density functional theory data (GGA-PBE) for a geometry-optimized ErTmFe2Br2 structure.

Geometry as extended XYZ:
```
6
Lattice="3.8199 0.0000 0.0000 -1.9099 3.3081 0.0000 0.0000 0.0000 11.5123" Properties=species:S:1:pos:R:3 pbc="T T T"
Er 0.0000 0.0000 0.0000
Tm 0.0000 0.0000 7.6192
Fe 0.0000 2.2054 9.4837
Fe 1.9099 1.1027 9.6400
Br 0.0000 2.2054 1.9061
Br 1.9099 1.1027 5.7144
```

Uncorrected energy   -5.7802 eV per atom
Symmetry   P3m1
Crystal system   trigonal



Density functional theory data (GGA-PBE) for a geometry-optimized GdErGa2Br2 structure.

Geometry as extended XYZ:
```
6
Lattice="4.1244 0.0000 0.0000 -2.0622 3.5718 0.0000 0.0000 0.0000 11.2359" Properties=species:S:1:pos:R:3 pbc="T T T"
Gd 0.0000 0.0000 0.0000
Er 0.0000 0.0000 4.0869
Ga 0.0000 2.3812 2.4083
Ga 2.0622 1.1906 1.7230
Br 0.0000 2.3812 9.4526
Br 2.0622 1.1906 5.8263
```

Uncorrected energy   -4.3133 eV per atom
Symmetry   P3m1
Crystal system   trigonal



Density functional theory data (GGA-PBE) for a geometry-optimized Er2Ga2IBr structure.

Geometry as extended XYZ:
```
6
Lattice="4.1340 0.0000 0.0000 -2.0670 3.5801 0.0000 0.0000 0.0000 11.5233" Properties=species:S:1:pos:R:3 pbc="T T T"
Er 0.0000 0.0000 0.0000
Er 0.0000 0.0000 4.0220
Ga 0.0000 2.3868 1.6360
Ga 2.0670 1.1934 2.3524
I 2.0670 1.1934 9.5338
Br 0.0000 2.3868 5.7604
```

Uncorrected energy   -4.1556 eV per atom
Symmetry   P3m1
Crystal system   trigonal



Density functional theory data (GGA-PBE) for a geometry-optimized TbErGa2Br2 structure.

Geometry as extended XYZ:
```
6
Lattice="4.1159 0.0000 0.0000 -2.0580 3.5645 0.0000 0.0000 0.0000 11.2346" Properties=species:S:1:pos:R:3 pbc="T T T"
Tb 0.0000 0.0000 0.0000
Er 0.0000 0.0000 7.1503
Ga 0.0000 2.3763 9.5257
Ga 2.0580 1.1882 8.8229
Br 0.0000 2.3763 5.4112
Br 2.0580 1.1882 1.7747
```

Uncorrected energy   -4.3038 eV per atom
Symmetry   P3m1
Crystal system   trigonal



Density functional theory data (GGA-PBE) for a geometry-optimized ErTmGa2Br2 structure.

Geometry as extended XYZ:
```
6
Lattice="4.0843 0.0000 0.0000 -2.0422 3.5371 0.0000 0.0000 0.0000 11.6753" Properties=species:S:1:pos:R:3 pbc="T T T"
Er 0.0000 0.0000 0.0000
Tm 0.0000 0.0000 7.6336
Ga 0.0000 2.3581 10.0040
Ga 2.0422 1.1790 9.2954
Br 0.0000 2.3581 5.8887
Br 2.0422 1.1790 1.7532
```

Uncorrected energy   -4.2456 eV per atom
Symmetry   P3m1
Crystal system   trigonal



Density functional theory data (GGA-PBE) for a geometry-optimized GdErH2Br4 structure.

Geometry as extended XYZ:
```
8
Lattice="3.8349 0.0000 0.0000 -1.9174 3.3211 0.0000 0.0000 0.0000 14.7938" Properties=species:S:1:pos:R:3 pbc="T T T"
Gd 0.0000 0.0000 0.0000
Er 0.0000 0.0000 7.3969
H 0.0000 2.2141 0.0000
H 1.9174 1.1070 7.3969
Br 0.0000 2.2141 5.5108
Br 0.0000 2.2141 9.2829
Br 1.9174 1.1070 1.9373
Br 1.9174 1.1070 12.8565
```

Uncorrected energy   -4.3469 eV per atom
Symmetry   P-6m2
Crystal system   hexagonal



Density functional theory data (GGA-PBE) for a geometry-optimized GdErBr2O2 structure.

Geometry as extended XYZ:
```
6
Lattice="3.8295 0.0000 0.0000 0.0000 3.8295 0.0000 0.0000 0.0000 8.6345" Properties=species:S:1:pos:R:3 pbc="T T T"
Gd 0.0000 0.0000 0.0000
Er 1.9147 1.9147 2.2923
Br 0.0000 0.0000 3.9619
Br 1.9147 1.9147 6.9755
O 0.0000 1.9147 1.1834
O 1.9147 0.0000 1.1834
```

Uncorrected energy   -6.6702 eV per atom
Symmetry   P4mm
Crystal system   tetragonal



Density functional theory data (GGA-PBE) for a geometry-optimized GdErPBr2 structure.

Geometry as extended XYZ:
```
5
Lattice="4.0005 0.0000 0.0000 -2.0002 3.4645 0.0000 0.0000 0.0000 10.8421" Properties=species:S:1:pos:R:3 pbc="T T T"
Gd 0.0000 0.0000 0.0000
Er 0.0000 2.3097 3.0413
P 2.0002 1.1548 1.5680
Br 0.0000 0.0000 4.8411
Br 0.0000 2.3097 8.9859
```

Uncorrected energy   -5.3631 eV per atom
Symmetry   P3m1
Crystal system   trigonal



Density functional theory data (GGA-PBE) for a geometry-optimized GdErSbBr2 structure.

Geometry as extended XYZ:
```
5
Lattice="4.2207 0.0000 0.0000 -2.1104 3.6553 0.0000 0.0000 0.0000 10.7915" Properties=species:S:1:pos:R:3 pbc="T T T"
Gd 0.0000 0.0000 0.0000
Er 0.0000 2.4368 3.4638
Sb 2.1104 1.2184 1.7760
Br 0.0000 0.0000 5.1506
Br 0.0000 2.4368 9.0556
```

Uncorrected energy   -4.7930 eV per atom
Symmetry   P3m1
Crystal system   trigonal



Density functional theory data (GGA-PBE) for a geometry-optimized Gd2Er2SiBr5 structure.

Geometry as extended XYZ:
```
10
Lattice="9.0603 -2.0194 0.0000 9.0603 2.0194 0.0000 -1.8031 0.0000 8.2572" Properties=species:S:1:pos:R:3 pbc="T T T"
Gd 17.7117 0.0000 1.8364
Gd -1.3941 0.0000 6.4208
Er 4.6950 0.0000 7.6159
Er 11.6226 0.0000 0.6414
Si 9.0603 0.0000 0.0000
Br 2.4619 0.0000 2.6584
Br 1.6447 0.0000 6.9952
Br 8.1588 0.0000 4.1286
Br 14.6729 0.0000 1.2620
Br 13.8557 0.0000 5.5988
```

Uncorrected energy   -4.6761 eV per atom
Symmetry   C2/m
Crystal system   monoclinic



Density functional theory data (GGA-PBE) for a geometry-optimized HoErGeBr2 structure.

Geometry as extended XYZ:
```
5
Lattice="4.1031 0.0000 0.0000 -2.0515 3.5534 0.0000 0.0000 0.0000 10.1014" Properties=species:S:1:pos:R:3 pbc="T T T"
Ho 0.0000 0.0000 0.0000
Er 0.0000 2.3689 6.9449
Ge 2.0515 1.1845 8.5161
Br 0.0000 0.0000 5.1949
Br 0.0000 2.3689 1.7623
```

Uncorrected energy   -4.8569 eV per atom
Symmetry   P3m1
Crystal system   trigonal



Density functional theory data (GGA-PBE) for a geometry-optimized ErTmGeBr2 structure.

Geometry as extended XYZ:
```
5
Lattice="4.0925 0.0000 0.0000 2.0462 3.5443 0.0000 1.6032 1.2822 11.0128" Properties=species:S:1:pos:R:3 pbc="T T T"
Er 0.0000 0.0000 0.0000
Tm 2.0462 1.1814 3.1333
Ge 4.0924 2.3628 1.5737
Br 3.6495 2.4636 9.2575
Br 6.1387 3.5441 4.8789
```

Distance to the lowest polymorph of the same formula   0.0 meV/atom
Symmetry   P1
Crystal system   triclinic



Density functional theory data (GGA-PBE) for a geometry-optimized ErTmGeBr2 structure.

Geometry as extended XYZ:
```
5
Lattice="4.0907 0.0000 0.0000 -2.0453 3.5426 0.0000 0.0000 0.0000 10.0302" Properties=species:S:1:pos:R:3 pbc="T T T"
Er 0.0000 0.0000 0.0000
Tm 2.0453 1.1809 3.1380
Ge 0.0000 2.3618 1.5764
Br 0.0000 0.0000 4.8820
Br 2.0453 1.1809 8.2718
```

Distance to the lowest polymorph of the same formula   2.9 meV/atom
Symmetry   P3m1
Crystal system   trigonal



Density functional theory data (GGA-PBE) for a geometry-optimized HoErH2Br2 structure.

Geometry as extended XYZ:
```
12
Lattice="6.5511 0.0000 0.0000 0.0000 3.7814 0.0000 -2.1173 0.0000 10.0152" Properties=species:S:1:pos:R:3 pbc="T T T"
Ho 0.0000 0.0000 0.0000
Ho 3.2756 1.8907 0.0000
Er 1.0918 1.8907 2.6670
Er 4.3673 0.0000 2.6670
H -0.0004 0.0000 2.1792
H 1.0921 1.8907 0.4921
H 3.2752 1.8907 2.1792
H 4.3677 0.0000 0.4921
Br 0.0662 0.0000 8.1599
Br 2.1838 0.0000 4.5184
Br 3.3418 1.8907 8.1599
Br 5.4593 1.8907 4.5184
```

Uncorrected energy   -4.4394 eV per atom
Symmetry   Cm
Crystal system   monoclinic



Density functional theory data (GGA-PBE) for a geometry-optimized Er2H2IBrO2 structure.

Geometry as extended XYZ:
```
8
Lattice="3.9293 0.0000 0.0000 -1.9647 3.4029 0.0000 0.0000 0.0000 10.5547" Properties=species:S:1:pos:R:3 pbc="T T T"
Er 0.0000 0.0000 0.0000
Er 0.0000 2.2686 5.1273
H 1.9647 1.1343 3.5103
H 1.9647 1.1343 9.0714
I 0.0000 0.0000 7.2753
Br 0.0000 2.2686 1.9797
O 1.9647 1.1343 4.4922
O 1.9647 1.1343 10.0586
```

Uncorrected energy   -5.0987 eV per atom
Symmetry   P3m1
Crystal system   trigonal



Density functional theory data (GGA-PBE) for a geometry-optimized ErH2BrO2 structure.

Geometry as extended XYZ:
```
12
Lattice="6.1255 0.0000 0.0000 0.0000 3.6267 0.0000 -1.9628 0.0000 6.4601" Properties=species:S:1:pos:R:3 pbc="T T T"
Er 0.5418 0.9067 2.5413
Er 3.6209 2.7200 3.9187
H -0.6553 0.9067 5.1719
H 0.8851 2.7200 4.6872
H 3.2776 0.9067 1.7729
H 4.8180 2.7200 1.2882
Br 1.5467 2.7200 0.4208
Br 2.6160 0.9067 6.0393
O -0.9839 0.9067 4.2457
O 1.2680 2.7200 3.7855
O 2.8947 0.9067 2.6746
O 5.1466 2.7200 2.2144
```

Uncorrected energy   -5.8070 eV per atom
Symmetry   P2_1/m
Crystal system   monoclinic



Density functional theory data (GGA-PBE) for a geometry-optimized ErScH2Br2 structure.

Geometry as extended XYZ:
```
12
Lattice="6.3683 0.0000 0.0000 0.0000 3.6766 0.0000 -2.0626 0.0000 9.7643" Properties=species:S:1:pos:R:3 pbc="T T T"
Er 0.0000 0.0000 0.0000
Er 3.1841 1.8383 0.0000
Sc 0.0609 0.0000 7.1896
Sc 3.2451 1.8383 7.1896
H 0.0602 0.0000 9.2270
H 1.1224 1.8383 7.6303
H 3.2444 1.8383 9.2270
H 4.3065 0.0000 7.6303
Br -1.0002 1.8383 5.4412
Br 1.0611 1.8383 1.8901
Br 2.1839 0.0000 5.4412
Br 4.2453 0.0000 1.8901
```

Uncorrected energy   -4.6835 eV per atom
Symmetry   Cm
Crystal system   monoclinic



Density functional theory data (GGA-PBE) for a geometry-optimized TbErH2Br4 structure.

Geometry as extended XYZ:
```
8
Lattice="3.8202 0.0000 0.0000 -1.9101 3.3084 0.0000 0.0000 0.0000 14.7837" Properties=species:S:1:pos:R:3 pbc="T T T"
Tb 0.0000 0.0000 0.0000
Er 0.0000 0.0000 7.3918
H 0.0000 2.2056 7.3918
H 1.9101 1.1028 0.0000
Br 0.0000 2.2056 1.9232
Br 0.0000 2.2056 12.8605
Br 1.9101 1.1028 5.4947
Br 1.9101 1.1028 9.2889
```

Uncorrected energy   -4.3421 eV per atom
Symmetry   P-6m2
Crystal system   hexagonal



Density functional theory data (GGA-PBE) for a geometry-optimized ErTmH2Br4 structure.

Geometry as extended XYZ:
```
8
Lattice="3.7806 0.0000 0.0000 -1.8903 3.2741 0.0000 0.0000 0.0000 14.7391" Properties=species:S:1:pos:R:3 pbc="T T T"
Er 0.0000 0.0000 0.0000
Tm 0.0000 0.0000 7.3696
H 0.0000 2.1827 0.0000
H 1.8903 1.0914 7.3696
Br 0.0000 2.1827 5.4738
Br 0.0000 2.1827 9.2653
Br 1.8903 1.0914 1.9050
Br 1.8903 1.0914 12.8341
```

Uncorrected energy   -4.3061 eV per atom
Symmetry   P-6m2
Crystal system   hexagonal



Density functional theory data (GGA-PBE) for a geometry-optimized YErH2Br4 structure.

Geometry as extended XYZ:
```
8
Lattice="3.8133 0.0000 0.0000 -1.9067 3.3024 0.0000 0.0000 0.0000 14.7781" Properties=species:S:1:pos:R:3 pbc="T T T"
Y 0.0000 0.0000 0.0000
Er 0.0000 0.0000 7.3891
H 0.0000 2.2016 7.3891
H 1.9067 1.1008 0.0000
Br 0.0000 2.2016 1.9219
Br 0.0000 2.2016 12.8563
Br 1.9067 1.1008 5.4909
Br 1.9067 1.1008 9.2872
```

Uncorrected energy   -4.5658 eV per atom
Symmetry   P-6m2
Crystal system   hexagonal



Density functional theory data (GGA-PBE) for a geometry-optimized HoErBr2O structure.

Geometry as extended XYZ:
```
5
Lattice="3.6334 0.0000 0.0000 -1.8167 3.1466 0.0000 0.0000 0.0000 10.0799" Properties=species:S:1:pos:R:3 pbc="T T T"
Ho 0.0000 0.0000 0.0000
Er 0.0000 2.0977 2.4481
Br 0.0000 0.0000 4.3653
Br 0.0000 2.0977 8.1393
O 1.8167 1.0489 1.2779
```

Uncorrected energy   -5.5505 eV per atom
Symmetry   P3m1
Crystal system   trigonal



Density functional theory data (GGA-PBE) for a geometry-optimized HoErPBr2 structure.

Geometry as extended XYZ:
```
5
Lattice="3.9695 0.0000 0.0000 -1.9848 3.4377 0.0000 0.0000 0.0000 10.7701" Properties=species:S:1:pos:R:3 pbc="T T T"
Ho 0.0000 0.0000 0.0000
Er 0.0000 2.2918 3.0068
P 1.9848 1.1459 1.5141
Br 0.0000 0.0000 4.8190
Br 0.0000 2.2918 8.9453
```

Uncorrected energy   -5.3383 eV per atom
Symmetry   P3m1
Crystal system   trigonal



Density functional theory data (GGA-PBE) for a geometry-optimized HoErSbBr2 structure.

Geometry as extended XYZ:
```
5
Lattice="4.1918 0.0000 0.0000 -2.0959 3.6302 0.0000 0.0000 0.0000 10.7315" Properties=species:S:1:pos:R:3 pbc="T T T"
Ho 0.0000 0.0000 0.0000
Er 2.0959 1.2101 7.2964
Sb 0.0000 2.4201 9.0039
Br 0.0000 0.0000 5.6002
Br 2.0959 1.2101 1.7057
```

Uncorrected energy   -4.7511 eV per atom
Symmetry   P3m1
Crystal system   trigonal



Density functional theory data (GGA-PBE) for a geometry-optimized Er2PIBr structure.

Geometry as extended XYZ:
```
5
Lattice="4.0203 0.0000 0.0000 -2.0101 3.4817 0.0000 0.0000 0.0000 10.5768" Properties=species:S:1:pos:R:3 pbc="T T T"
Er 0.0000 0.0000 0.0000
Er 0.0000 2.3211 7.6241
P 2.0101 1.1606 9.0963
I 0.0000 2.3211 2.0515
Br 0.0000 0.0000 5.8296
```

Uncorrected energy   -5.1752 eV per atom
Symmetry   P3m1
Crystal system   trigonal



Density functional theory data (GGA-PBE) for a geometry-optimized KEr4BrO6 structure.

Geometry as extended XYZ:
```
12
Lattice="6.5970 0.0000 0.0000 -3.2985 5.7131 0.0000 0.0000 0.0000 8.5819" Properties=species:S:1:pos:R:3 pbc="T T T"
K 0.0000 0.0000 0.0000
Er 0.0000 3.8088 2.2217
Er 0.0000 3.8088 6.3601
Er 3.2985 1.9044 2.2217
Er 3.2985 1.9044 6.3601
Br 0.0000 0.0000 4.2909
O -1.6492 2.8566 1.5817
O -1.6492 2.8566 7.0001
O 3.2985 0.0000 1.5817
O 3.2985 0.0000 7.0001
O 1.6492 2.8566 1.5817
O 1.6492 2.8566 7.0001
```

Uncorrected energy   -6.6289 eV per atom
Symmetry   P6/mmm
Crystal system   hexagonal